[1]
DFT (PBE) results for a relaxed DyTm2In3Cu2Pt crystal.

Properties
The total energy comes out at -4.49 eV/atom.

CIF file:
```
data_DyTm2In3Cu2Pt
_chemical_formula_sum 'Dy2 Tm4 In6 Cu4 Pt2'
_cell_length_a 3.9359
_cell_length_b 12.9633
_cell_length_c 7.4866
_cell_angle_alpha 90.00
_cell_angle_beta 90.00
_cell_angle_gamma 90.00
_symmetry_space_group_name_H-M 'A m m 2'
_symmetry_Int_Tables_number 38
loop_
_symmetry_equiv_pos_as_xyz
'x,y,z'
'-x,-y,z'
'-x,y,z'
'x,-y,z'
'x,y+1/2,z+1/2'
'-x,-y+1/2,z+1/2'
'-x,y+1/2,z+1/2'
'x,-y+1/2,z+1/2'
loop_
_atom_site_label
_atom_site_type_symbol
_atom_site_fract_x
_atom_site_fract_y
_atom_site_fract_z
_atom_site_occupancy
Dy1 Dy 0.0000 0.0000 0.0000 1
Tm1 Tm 0.0000 0.2017 0.3939 1
In1 In 0.5000 0.0000 0.3296 1
In2 In 0.5000 0.1330 0.7277 1
Cu1 Cu 0.5000 0.1681 0.0958 1
Pt1 Pt 0.0000 0.0000 0.5933 1
```

=====

[2]
DFT (PBE) results for a relaxed KDyFeTe3 crystal.

Properties
The total energy comes out at -4.60 eV/atom.

CIF file:
```
data_KDyFeTe3
_chemical_formula_sum 'K4 Dy4 Fe4 Te12'
_cell_length_a 18.8133
_cell_length_b 4.4964
_cell_length_c 9.3057
_cell_angle_alpha 90.00
_cell_angle_beta 103.37
_cell_angle_gamma 90.00
_symmetry_space_group_name_H-M 'C 1 2/m 1'
_symmetry_Int_Tables_number 12
loop_
_symmetry_equiv_pos_as_xyz
'x,y,z'
'-x,-y,-z'
'-x,y,-z'
'x,-y,z'
'x+1/2,y+1/2,z'
'-x+1/2,-y+1/2,-z'
'-x+1/2,y+1/2,-z'
'x+1/2,-y+1/2,z'
loop_
_atom_site_label
_atom_site_type_symbol
_atom_site_fract_x
_atom_site_fract_y
_atom_site_fract_z
_atom_site_occupancy
K1 K 0.1432 0.0000 0.0667 1
Dy1 Dy 0.1712 0.0000 0.5826 1
Fe1 Fe 0.0126 0.5000 0.7184 1
Te1 Te 0.0000 0.0000 0.5000 1
Te2 Te 0.0000 0.5000 0.0000 1
Te3 Te 0.1609 0.5000 0.3544 1
Te4 Te 0.1624 0.5000 0.7978 1
```

=====

[3]
DFT (PBE) results for a relaxed RbGdZnO3 crystal.

Properties
The total energy comes out at -5.83 eV/atom.

CIF file:
```
data_RbGdZnO3
_chemical_formula_sum 'Rb4 Gd4 Zn4 O12'
_cell_length_a 3.5504
_cell_length_b 12.5255
_cell_length_c 9.1610
_cell_angle_alpha 90.00
_cell_angle_beta 90.00
_cell_angle_gamma 90.00
_symmetry_space_group_name_H-M 'C m c m'
_symmetry_Int_Tables_number 63
_symmetry_space_group_name_Hall '-C 2c 2'
loop_
_atom_site_label
_atom_site_type_symbol
_atom_site_fract_x
_atom_site_fract_y
_atom_site_fract_z
_atom_site_occupancy
Rb1 Rb 0.0000 0.2224 0.2500 1
Gd1 Gd 0.0000 0.5000 0.0000 1
Zn1 Zn 0.0000 0.0561 0.7500 1
O1 O 0.0000 0.1127 0.5558 1
O2 O 0.0000 0.4641 0.7500 1
```

=====

[4]
DFT (PBE) results for a relaxed Li4ZnCu2Pd crystal.

Properties
The total energy comes out at -2.89 eV/atom.

CIF file:
```
data_Li4ZnCu2Pd
_chemical_formula_sum 'Li4 Zn1 Cu2 Pd1'
_cell_length_a 4.2072
_cell_length_b 4.2072
_cell_length_c 5.9796
_cell_angle_alpha 90.00
_cell_angle_beta 90.00
_cell_angle_gamma 90.00
_symmetry_space_group_name_H-M 'P -4 m 2'
_symmetry_Int_Tables_number 115
loop_
_symmetry_equiv_pos_as_xyz
'x,y,z'
'y,-x,-z'
'-x,-y,z'
'-y,x,-z'
'-x,y,z'
'-y,-x,-z'
'x,-y,z'
'y,x,-z'
loop_
_atom_site_label
_atom_site_type_symbol
_atom_site_fract_x
_atom_site_fract_y
_atom_site_fract_z
_atom_site_occupancy
Li1 Li 0.0000 0.0000 0.0000 1
Li2 Li 0.0000 0.5000 0.2475 1
Li3 Li 0.5000 0.5000 0.5000 1
Zn1 Zn 0.0000 0.0000 0.5000 1
Cu1 Cu 0.0000 0.5000 0.7432 1
Pd1 Pd 0.5000 0.5000 0.0000 1
```

=====

[5]
DFT (PBE) results for a relaxed TmAlPt crystal.

Properties
The total energy comes out at -5.94 eV/atom.

CIF file:
```
data_TmAlPt
_chemical_formula_sum 'Tm4 Al4 Pt4'
_cell_length_a 6.8120
_cell_length_b 4.3931
_cell_length_c 7.7245
_cell_angle_alpha 90.00
_cell_angle_beta 90.00
_cell_angle_gamma 90.00
_symmetry_space_group_name_H-M 'P n m a'
_symmetry_Int_Tables_number 62
loop_
_symmetry_equiv_pos_as_xyz
'x,y,z'
'-x,-y,-z'
'-x+1/2,-y,z+1/2'
'x+1/2,y,-z+1/2'
'x+1/2,-y+1/2,-z+1/2'
'-x+1/2,y+1/2,z+1/2'
'-x,y+1/2,-z'
'x,-y+1/2,z'
loop_
_atom_site_label
_atom_site_type_symbol
_atom_site_fract_x
_atom_site_fract_y
_atom_site_fract_z
_atom_site_occupancy
Tm1 Tm 0.0270 0.2500 0.1827 1
Al1 Al 0.1481 0.2500 0.5643 1
Pt1 Pt 0.2298 0.7500 0.3850 1
```

=====

[6]
DFT (PBE) results for a relaxed KHoCoS3 crystal.

Properties
The total energy comes out at -5.50 eV/atom.

CIF file:
```
data_KHoCoS3
_chemical_formula_sum 'K4 Ho4 Co4 S12'
_cell_length_a 14.5715
_cell_length_b 3.8503
_cell_length_c 10.5180
_cell_angle_alpha 90.00
_cell_angle_beta 90.00
_cell_angle_gamma 90.00
_symmetry_space_group_name_H-M 'P n m a'
_symmetry_Int_Tables_number 62
loop_
_symmetry_equiv_pos_as_xyz
'x,y,z'
'-x,-y,-z'
'-x+1/2,-y,z+1/2'
'x+1/2,y,-z+1/2'
'x+1/2,-y+1/2,-z+1/2'
'-x+1/2,y+1/2,z+1/2'
'-x,y+1/2,-z'
'x,-y+1/2,z'
loop_
_atom_site_label
_atom_site_type_symbol
_atom_site_fract_x
_atom_site_fract_y
_atom_site_fract_z
_atom_site_occupancy
K1 K 0.2342 0.2500 0.0318 1
Ho1 Ho 0.0189 0.2500 0.3440 1
Co1 Co 0.0093 0.7500 0.0844 1
S1 S 0.0700 0.7500 0.8953 1
S2 S 0.0979 0.2500 0.5724 1
S3 S 0.1222 0.7500 0.2343 1
```

=====

[7]
DFT (PBE) results for a relaxed HfMgBeNi crystal.

Properties
The total energy comes out at -5.06 eV/atom.

CIF file:
```
data_HfMgBeNi
_chemical_formula_sum 'Hf4 Mg4 Be4 Ni4'
_cell_length_a 6.1300
_cell_length_b 6.1300
_cell_length_c 6.1300
_cell_angle_alpha 90.00
_cell_angle_beta 90.00
_cell_angle_gamma 90.00
_symmetry_space_group_name_H-M 'F -4 3 m'
_symmetry_Int_Tables_number 216
_symmetry_space_group_name_Hall 'F -4 2 3'
loop_
_atom_site_label
_atom_site_type_symbol
_atom_site_fract_x
_atom_site_fract_y
_atom_site_fract_z
_atom_site_occupancy
Hf1 Hf 0.0000 0.0000 0.0000 1
Mg1 Mg 0.2500 0.2500 0.2500 1
Be1 Be 0.2500 0.2500 0.7500 1
Ni1 Ni 0.0000 0.0000 0.5000 1
```

=====

[8]
DFT (PBE) results for a relaxed BaGdAuSe3 crystal.

Properties
The total energy comes out at -4.88 eV/atom.

CIF file:
```
data_BaGdAuSe3
_chemical_formula_sum 'Ba2 Gd2 Au2 Se6'
_cell_length_a 8.3499
_cell_length_b 4.2436
_cell_length_c 9.9779
_cell_angle_alpha 90.00
_cell_angle_beta 106.38
_cell_angle_gamma 90.00
_symmetry_space_group_name_H-M 'P 1 21/m 1'
_symmetry_Int_Tables_number 11
loop_
_symmetry_equiv_pos_as_xyz
'x,y,z'
'-x,-y,-z'
'-x,y+1/2,-z'
'x,-y+1/2,z'
loop_
_atom_site_label
_atom_site_type_symbol
_atom_site_fract_x
_atom_site_fract_y
_atom_site_fract_z
_atom_site_occupancy
Ba1 Ba 0.2328 0.2500 0.2769 1
Gd1 Gd 0.3110 0.7500 0.8401 1
Au1 Au 0.1049 0.2500 0.5979 1
Se1 Se 0.0763 0.2500 0.8544 1
Se2 Se 0.2760 0.7500 0.5424 1
Se3 Se 0.4417 0.7500 0.1416 1
```

=====

[9]
DFT (PBE) results for a relaxed HfBe9Nb2 crystal.

Properties
The total energy comes out at -5.56 eV/atom.

CIF file:
```
data_HfBe9Nb2
_chemical_formula_sum 'Hf3 Be27 Nb6'
_cell_length_a 4.5962
_cell_length_b 4.5962
_cell_length_c 21.3747
_cell_angle_alpha 90.00
_cell_angle_beta 90.00
_cell_angle_gamma 120.00
_symmetry_space_group_name_H-M 'R -3 m'
_symmetry_Int_Tables_number 166
_symmetry_space_group_name_Hall '-R 3 2"'
loop_
_atom_site_label
_atom_site_type_symbol
_atom_site_fract_x
_atom_site_fract_y
_atom_site_fract_z
_atom_site_occupancy
Hf1 Hf 0.0000 0.0000 0.0000 1
Be1 Be 0.0000 0.0000 0.3350 1
Be2 Be 0.0000 0.0000 0.5000 1
Be3 Be 0.0061 0.5031 0.9178 1
Nb1 Nb 0.0000 0.0000 0.1425 1
```

=====

[10]
DFT (PBE) results for a relaxed SrZnMo2 crystal.

Properties
The total energy comes out at -5.38 eV/atom.

CIF file:
```
data_SrZnMo2
_chemical_formula_sum 'Sr4 Zn4 Mo8'
_cell_length_a 6.7246
_cell_length_b 6.7246
_cell_length_c 6.7246
_cell_angle_alpha 90.00
_cell_angle_beta 90.00
_cell_angle_gamma 90.00
_symmetry_space_group_name_H-M 'F -4 3 m'
_symmetry_Int_Tables_number 216
_symmetry_space_group_name_Hall 'F -4 2 3'
loop_
_atom_site_label
_atom_site_type_symbol
_atom_site_fract_x
_atom_site_fract_y
_atom_site_fract_z
_atom_site_occupancy
Sr1 Sr 0.0000 0.0000 0.0000 1
Zn1 Zn 0.2500 0.2500 0.2500 1
Mo1 Mo 0.0000 0.0000 0.5000 1
Mo2 Mo 0.2500 0.2500 0.7500 1
```

=====

[11]
DFT (PBE) results for a relaxed Zr crystal.

Properties
The value obtained for the formation energy is 184 meV per atom.

CIF file:
```
data_Zr
_chemical_formula_sum 'Zr8'
_cell_length_a 5.2282
_cell_length_b 10.9152
_cell_length_c 3.2527
_cell_angle_alpha 90.00
_cell_angle_beta 90.00
_cell_angle_gamma 90.00
_symmetry_space_group_name_H-M 'C m c e'
_symmetry_Int_Tables_number 64
_symmetry_space_group_name_Hall '-C 2ac 2'
loop_
_atom_site_label
_atom_site_type_symbol
_atom_site_fract_x
_atom_site_fract_y
_atom_site_fract_z
_atom_site_occupancy
Zr1 Zr 0.0000 0.1345 0.0014 1
```

=====

[12]
DFT (PBE) results for a relaxed TbYNO crystal.

Properties
The total energy comes out at -8.27 eV/atom.

CIF file:
```
data_TbYNO
_chemical_formula_sum 'Tb4 Y4 N4 O4'
_cell_length_a 8.0874
_cell_length_b 6.6287
_cell_length_c 4.9554
_cell_angle_alpha 90.00
_cell_angle_beta 90.00
_cell_angle_gamma 90.00
_symmetry_space_group_name_H-M 'P b c m'
_symmetry_Int_Tables_number 57
loop_
_symmetry_equiv_pos_as_xyz
'x,y,z'
'-x,-y,-z'
'-x,-y,z+1/2'
'x,y,-z+1/2'
'x,-y+1/2,-z'
'-x,y+1/2,z'
'-x,y+1/2,-z+1/2'
'x,-y+1/2,z+1/2'
loop_
_atom_site_label
_atom_site_type_symbol
_atom_site_fract_x
_atom_site_fract_y
_atom_site_fract_z
_atom_site_occupancy
Tb1 Tb 0.1274 0.0825 0.2500 1
Y1 Y 0.3779 0.5695 0.2500 1
N1 N 0.1257 0.0694 0.7500 1
O1 O 0.3689 0.5942 0.7500 1
```

=====

[13]
DFT (PBE) results for a relaxed Ba2NaP2Au crystal.

Properties
The total energy comes out at -3.97 eV/atom.

CIF file:
```
data_Ba2NaP2Au
_chemical_formula_sum 'Ba2 Na1 P2 Au1'
_cell_length_a 4.6456
_cell_length_b 4.6456
_cell_length_c 8.8174
_cell_angle_alpha 90.00
_cell_angle_beta 90.00
_cell_angle_gamma 120.00
_symmetry_space_group_name_H-M 'P -6 m 2'
_symmetry_Int_Tables_number 187
_symmetry_space_group_name_Hall 'P -6 2'
loop_
_atom_site_label
_atom_site_type_symbol
_atom_site_fract_x
_atom_site_fract_y
_atom_site_fract_z
_atom_site_occupancy
Ba1 Ba 0.0000 0.0000 0.2503 1
Na1 Na 0.3333 0.6667 0.0000 1
P1 P 0.3333 0.6667 0.5000 1
P2 P 0.6667 0.3333 0.0000 1
Au1 Au 0.6667 0.3333 0.5000 1
```

=====

[14]
DFT (PBE) results for a relaxed Dy2AlIrOs crystal.

Properties
The total energy comes out at -7.28 eV/atom.

CIF file:
```
data_Dy2AlIrOs
_chemical_formula_sum 'Dy4 Al2 Ir2 Os2'
_cell_length_a 4.0851
_cell_length_b 8.5790
_cell_length_c 5.8061
_cell_angle_alpha 90.00
_cell_angle_beta 90.00
_cell_angle_gamma 90.00
_symmetry_space_group_name_H-M 'I m m 2'
_symmetry_Int_Tables_number 44
loop_
_symmetry_equiv_pos_as_xyz
'x,y,z'
'-x,-y,z'
'-x,y,z'
'x,-y,z'
'x+1/2,y+1/2,z+1/2'
'-x+1/2,-y+1/2,z+1/2'
'-x+1/2,y+1/2,z+1/2'
'x+1/2,-y+1/2,z+1/2'
loop_
_atom_site_label
_atom_site_type_symbol
_atom_site_fract_x
_atom_site_fract_y
_atom_site_fract_z
_atom_site_occupancy
Dy1 Dy 0.0000 0.2048 0.0000 1
Al1 Al 0.0000 0.0000 0.4913 1
Ir1 Ir 0.0000 0.5000 0.2672 1
Os1 Os 0.0000 0.5000 0.7228 1
```

=====

[15]
DFT (PBE) results for a relaxed ZnGePd2 crystal.

Properties
The total energy comes out at -4.30 eV/atom.

CIF file:
```
data_ZnGePd2
_chemical_formula_sum 'Zn4 Ge4 Pd8'
_cell_length_a 6.2886
_cell_length_b 6.2886
_cell_length_c 6.2886
_cell_angle_alpha 90.00
_cell_angle_beta 90.00
_cell_angle_gamma 90.00
_symmetry_space_group_name_H-M 'F -4 3 m'
_symmetry_Int_Tables_number 216
_symmetry_space_group_name_Hall 'F -4 2 3'
loop_
_atom_site_label
_atom_site_type_symbol
_atom_site_fract_x
_atom_site_fract_y
_atom_site_fract_z
_atom_site_occupancy
Zn1 Zn 0.0000 0.0000 0.0000 1
Ge1 Ge 0.2500 0.2500 0.7500 1
Pd1 Pd 0.0000 0.0000 0.5000 1
Pd2 Pd 0.2500 0.2500 0.2500 1
```

=====

[16]
DFT (PBE) results for a relaxed KNaCoTc crystal.

Properties
The total energy comes out at -3.62 eV/atom.

CIF file:
```
data_KNaCoTc
_chemical_formula_sum 'K4 Na4 Co4 Tc4'
_cell_length_a 6.8541
_cell_length_b 6.8541
_cell_length_c 6.8541
_cell_angle_alpha 90.00
_cell_angle_beta 90.00
_cell_angle_gamma 90.00
_symmetry_space_group_name_H-M 'F -4 3 m'
_symmetry_Int_Tables_number 216
_symmetry_space_group_name_Hall 'F -4 2 3'
loop_
_atom_site_label
_atom_site_type_symbol
_atom_site_fract_x
_atom_site_fract_y
_atom_site_fract_z
_atom_site_occupancy
K1 K 0.0000 0.0000 0.0000 1
Na1 Na 0.2500 0.2500 0.2500 1
Co1 Co 0.2500 0.2500 0.7500 1
Tc1 Tc 0.0000 0.0000 0.5000 1
```

=====

[17]
DFT (PBE) results for a relaxed PmCoSi crystal.

Properties
The total energy comes out at -5.96 eV/atom.

CIF file:
```
data_PmCoSi
_chemical_formula_sum 'Pm4 Co4 Si4'
_cell_length_a 6.1615
_cell_length_b 6.1615
_cell_length_c 6.1615
_cell_angle_alpha 90.00
_cell_angle_beta 90.00
_cell_angle_gamma 90.00
_symmetry_space_group_name_H-M 'F -4 3 m'
_symmetry_Int_Tables_number 216
_symmetry_space_group_name_Hall 'F -4 2 3'
loop_
_atom_site_label
_atom_site_type_symbol
_atom_site_fract_x
_atom_site_fract_y
_atom_site_fract_z
_atom_site_occupancy
Pm1 Pm 0.0000 0.0000 0.0000 1
Co1 Co 0.2500 0.2500 0.2500 1
Si1 Si 0.0000 0.0000 0.5000 1
```

=====

[18]
DFT (PBE) results for a relaxed SmYBr3N crystal.

Properties
The total energy comes out at -5.90 eV/atom.

CIF file:
```
data_SmYBr3N
_chemical_formula_sum 'Sm4 Y4 Br12 N4'
_cell_length_a 18.3305
_cell_length_b 3.9236
_cell_length_c 11.6584
_cell_angle_alpha 90.00
_cell_angle_beta 124.86
_cell_angle_gamma 90.00
_symmetry_space_group_name_H-M 'C 1 2/m 1'
_symmetry_Int_Tables_number 12
loop_
_symmetry_equiv_pos_as_xyz
'x,y,z'
'-x,-y,-z'
'-x,y,-z'
'x,-y,z'
'x+1/2,y+1/2,z'
'-x+1/2,-y+1/2,-z'
'-x+1/2,y+1/2,-z'
'x+1/2,-y+1/2,z'
loop_
_atom_site_label
_atom_site_type_symbol
_atom_site_fract_x
_atom_site_fract_y
_atom_site_fract_z
_atom_site_occupancy
Sm1 Sm 0.0763 0.0000 0.4587 1
Y1 Y 0.1359 0.5000 0.7859 1
Br1 Br 0.0353 0.5000 0.2417 1
Br2 Br 0.1695 0.0000 0.0102 1
Br3 Br 0.2189 0.5000 0.6230 1
N1 N 0.0759 0.0000 0.6560 1
```

=====

[19]
DFT (PBE) results for a relaxed YTmAsO crystal.

Properties
The total energy comes out at -7.00 eV/atom.

CIF file:
```
data_YTmAsO
_chemical_formula_sum 'Y2 Tm2 As2 O2'
_cell_length_a 4.3167
_cell_length_b 4.3167
_cell_length_c 8.6202
_cell_angle_alpha 90.00
_cell_angle_beta 90.00
_cell_angle_gamma 90.00
_symmetry_space_group_name_H-M 'P 4 m m'
_symmetry_Int_Tables_number 99
loop_
_symmetry_equiv_pos_as_xyz
'x,y,z'
'-y,x,z'
'-x,-y,z'
'y,-x,z'
'-x,y,z'
'y,x,z'
'x,-y,z'
'-y,-x,z'
loop_
_atom_site_label
_atom_site_type_symbol
_atom_site_fract_x
_atom_site_fract_y
_atom_site_fract_z
_atom_site_occupancy
Y1 Y 0.0000 0.5000 0.0000 1
Tm1 Tm 0.0000 0.0000 0.4071 1
Tm2 Tm 0.5000 0.5000 0.5948 1
As1 As 0.0000 0.0000 0.7907 1
As2 As 0.5000 0.5000 0.2107 1
O1 O 0.0000 0.5000 0.5009 1
```

=====

[20]
DFT (PBE) results for a relaxed Be2TeIr crystal.

Properties
The total energy comes out at -4.35 eV/atom.

CIF file:
```
data_Be2TeIr
_chemical_formula_sum 'Be8 Te4 Ir4'
_cell_length_a 6.1677
_cell_length_b 6.1677
_cell_length_c 6.1677
_cell_angle_alpha 90.00
_cell_angle_beta 90.00
_cell_angle_gamma 90.00
_symmetry_space_group_name_H-M 'F -4 3 m'
_symmetry_Int_Tables_number 216
_symmetry_space_group_name_Hall 'F -4 2 3'
loop_
_atom_site_label
_atom_site_type_symbol
_atom_site_fract_x
_atom_site_fract_y
_atom_site_fract_z
_atom_site_occupancy
Be1 Be 0.0000 0.0000 0.0000 1
Be2 Be 0.2500 0.2500 0.2500 1
Te1 Te 0.0000 0.0000 0.5000 1
Ir1 Ir 0.2500 0.2500 0.7500 1
```